A) Entry from Alexandria: a relaxed BaS2BrN crystal (GGA-PBE).

Fermi-level density of states (states/eV per cell): 12.97
Density (Mg/m³): 2.31
Symmetry: P4/mmm (123)

abc: 6.290 6.290 5.357
angles: 90.00 90.00 90.00
Fractional positions:
1 Ba 0.000 0.000 0.000
2 S 0.000 0.500 0.000
3 S 0.500 0.000 0.000
4 Br 0.500 0.500 0.500
5 N 0.000 0.000 0.500

***

B) Entry from Alexandria: a relaxed BaS2BrN crystal (GGA-PBE).

Fermi-level density of states (states/eV per cell): 1.54
Density (Mg/m³): 4.23
Symmetry: P4/mmm (123)

abc: 5.256 5.256 4.200
angles: 90.00 90.00 90.00
Fractional positions:
1 Ba 0.000 0.000 0.000
2 S 0.000 0.500 0.500
3 S 0.500 0.000 0.500
4 Br 0.500 0.500 0.500
5 N 0.500 0.500 0.000

***

B) is favored, and the nearest alternative lies 0.897 eV/atom above it.

***

A) Entry from Alexandria: a relaxed BaSeBrN2 crystal (GGA-PBE).

Fermi-level density of states (states/eV per cell): 3.13
Density (Mg/m³): 4.87
Symmetry: P4/mmm (123)

abc: 4.545 4.545 5.349
angles: 90.00 90.00 90.00
Fractional positions:
1 Ba 0.000 0.000 0.000
2 Se 0.500 0.500 0.000
3 Br 0.500 0.500 0.500
4 N 0.000 0.500 0.500
5 N 0.500 0.000 0.500

***

B) Entry from Alexandria: a relaxed BaSeBrN2 crystal (GGA-PBE).

Fermi-level density of states (states/eV per cell): 2.06
Density (Mg/m³): 2.78
Symmetry: P4/mmm (123)

abc: 5.399 5.399 6.650
angles: 90.00 90.00 90.00
Fractional positions:
1 Ba 0.000 0.000 0.000
2 Se 0.000 0.000 0.500
3 Br 0.500 0.500 0.500
4 N 0.000 0.500 0.000
5 N 0.500 0.000 0.000

***

A) is favored, and the nearest alternative lies 0.329 eV/atom above it.